(1)
# TbFeCo | Alexandria via LeMat-Bulk | PBE | relaxed
data_TbFeCo
_cell_length_a 5.1127
_cell_length_b 5.1027
_cell_length_c 5.1027
_cell_angle_alpha 62.17
_cell_angle_beta 59.93
_cell_angle_gamma 59.93
_space_group_name_H-M_alt 'P 1'
_space_group_IT_number 1
loop_
_space_group_symop_operation_xyz
'x,y,z'
loop_
_atom_site_label
_atom_site_type_symbol
_atom_site_fract_x
_atom_site_fract_y
_atom_site_fract_z
Co1 Co 0.5000 0.0000 0.5000
Co2 Co 0.5000 0.5000 0.0000
Tb1 Tb 0.1261 0.6239 0.6239
Tb2 Tb 0.8739 0.3761 0.3761
Fe1 Fe 0.5000 0.0000 0.0000
Fe2 Fe 0.0000 0.0000 0.0000
# Distance to the lowest polymorph of the same formula = 0.00 eV/f.u.
# Energy relative to the elements = -0.145 eV/atom



(2)
# Mg3AlZn2 | Alexandria via LeMat-Bulk | PBE | relaxed
data_Mg3AlZn2
_cell_length_a 5.6966
_cell_length_b 5.5721
_cell_length_c 8.3832
_cell_angle_alpha 109.41
_cell_angle_beta 109.86
_cell_angle_gamma 90.00
_space_group_name_H-M_alt 'P 1'
_space_group_IT_number 1
loop_
_space_group_symop_operation_xyz
'x,y,z'
loop_
_atom_site_label
_atom_site_type_symbol
_atom_site_fract_x
_atom_site_fract_y
_atom_site_fract_z
Mg1 Mg 0.9111 0.1831 0.3662
Mg2 Mg 0.5000 0.7500 0.0000
Mg3 Mg 0.5000 0.2500 0.0000
Mg4 Mg 0.4552 0.6831 0.3662
Mg5 Mg 0.0889 0.8169 0.6338
Mg6 Mg 0.5448 0.3169 0.6338
Zn1 Zn 0.6431 0.8704 0.7408
Zn2 Zn 0.9022 0.6296 0.2592
Zn3 Zn 0.0978 0.3704 0.7408
Zn4 Zn 0.3569 0.1296 0.2592
Al1 Al 0.0000 0.7500 0.0000
Al2 Al 0.0000 0.2500 0.0000
# Energy relative to the elements = -0.013 eV/atom



(3)
# Tb2DyEr3 | Alexandria via LeMat-Bulk | PBE | relaxed
data_Tb2DyEr3
_cell_length_a 5.9039
_cell_length_b 12.1025
_cell_length_c 12.1025
_cell_angle_alpha 46.57
_cell_angle_beta 43.01
_cell_angle_gamma 43.01
_space_group_name_H-M_alt 'P 1'
_space_group_IT_number 1
loop_
_space_group_symop_operation_xyz
'x,y,z'
loop_
_atom_site_label
_atom_site_type_symbol
_atom_site_fract_x
_atom_site_fract_y
_atom_site_fract_z
Dy1 Dy 0.0000 0.0000 0.0000
Dy2 Dy 0.5000 0.0000 0.0000
Er1 Er 0.5490 0.3176 0.1505
Er2 Er 0.2500 0.3921 0.6079
Er3 Er 0.0490 0.1505 0.3176
Er4 Er 0.4510 0.6824 0.8495
Er5 Er 0.7500 0.6079 0.3921
Er6 Er 0.9510 0.8495 0.6824
Tb1 Tb 0.1487 0.1502 0.5845
Tb2 Tb 0.3513 0.4155 0.8498
Tb3 Tb 0.8513 0.8498 0.4155
Tb4 Tb 0.6487 0.5845 0.1502
# Distance to the lowest polymorph of the same formula = 0.25 eV/f.u.
# Energy relative to the elements = 0.161 eV/atom



(4)
# CsTi2MnFe | Alexandria via LeMat-Bulk | PBE | relaxed
data_CsTi2MnFe
_cell_length_a 4.6165
_cell_length_b 5.5636
_cell_length_c 4.6165
_cell_angle_alpha 90.00
_cell_angle_beta 90.00
_cell_angle_gamma 90.00
_space_group_name_H-M_alt 'P 1'
_space_group_IT_number 1
loop_
_space_group_symop_operation_xyz
'x,y,z'
loop_
_atom_site_label
_atom_site_type_symbol
_atom_site_fract_x
_atom_site_fract_y
_atom_site_fract_z
Ti1 Ti 0.0000 0.0000 0.5000
Ti2 Ti 0.5000 0.0000 0.0000
Cs1 Cs 0.0000 0.5000 0.0000
Fe1 Fe 0.0000 0.0000 0.0000
Mn1 Mn 0.5000 0.5000 0.5000
# Energy relative to the elements = 1.318 eV/atom



(5)
# Mn2HgAu | Alexandria via LeMat-Bulk | PBE | relaxed
data_Mn2HgAu
_cell_length_a 4.6702
_cell_length_b 4.6702
_cell_length_c 5.3863
_cell_angle_alpha 78.82
_cell_angle_beta 78.82
_cell_angle_gamma 39.04
_space_group_name_H-M_alt 'P 1'
_space_group_IT_number 1
loop_
_space_group_symop_operation_xyz
'x,y,z'
loop_
_atom_site_label
_atom_site_type_symbol
_atom_site_fract_x
_atom_site_fract_y
_atom_site_fract_z
Mn1 Mn 0.4963 0.4963 0.5119
Mn2 Mn 0.0037 0.0037 0.9881
Hg1 Hg 0.2500 0.2500 0.2500
Au1 Au 0.7500 0.7500 0.7500
# Energy relative to the elements = 0.266 eV/atom



(6)
# Ce4HoPd15 | Alexandria via LeMat-Bulk | PBE | relaxed
data_Ce4HoPd15
_cell_length_a 4.1524
_cell_length_b 4.1524
_cell_length_c 20.6970
_cell_angle_alpha 90.00
_cell_angle_beta 90.00
_cell_angle_gamma 90.00
_space_group_name_H-M_alt 'P 1'
_space_group_IT_number 1
loop_
_space_group_symop_operation_xyz
'x,y,z'
loop_
_atom_site_label
_atom_site_type_symbol
_atom_site_fract_x
_atom_site_fract_y
_atom_site_fract_z
Pd1 Pd 0.5000 0.5000 0.1991
Pd2 Pd 0.5000 0.5000 0.8009
Pd3 Pd 0.0000 0.5000 0.5000
Pd4 Pd 0.0000 0.5000 0.7010
Pd5 Pd 0.5000 0.0000 0.0995
Pd6 Pd 0.5000 0.5000 0.3996
Pd7 Pd 0.5000 0.0000 0.9005
Pd8 Pd 0.0000 0.5000 0.2990
Pd9 Pd 0.0000 0.5000 0.9005
Pd10 Pd 0.0000 0.5000 0.0995
Pd11 Pd 0.5000 0.5000 0.0000
Pd12 Pd 0.5000 0.0000 0.5000
Pd13 Pd 0.5000 0.5000 0.6004
Pd14 Pd 0.5000 0.0000 0.7010
Pd15 Pd 0.5000 0.0000 0.2990
Ce1 Ce 0.0000 0.0000 0.6009
Ce2 Ce 0.0000 0.0000 0.3991
Ce3 Ce 0.0000 0.0000 0.1971
Ce4 Ce 0.0000 0.0000 0.8029
Ho1 Ho 0.0000 0.0000 0.0000
# Energy relative to the elements = -0.848 eV/atom



(7)
# TaAgPdPt | Alexandria via LeMat-Bulk | PBE | relaxed
data_TaAgPdPt
_cell_length_a 5.1200
_cell_length_b 2.8514
_cell_length_c 9.1751
_cell_angle_alpha 90.00
_cell_angle_beta 99.58
_cell_angle_gamma 90.00
_space_group_name_H-M_alt 'P 1'
_space_group_IT_number 1
loop_
_space_group_symop_operation_xyz
'x,y,z'
loop_
_atom_site_label
_atom_site_type_symbol
_atom_site_fract_x
_atom_site_fract_y
_atom_site_fract_z
Ag1 Ag 0.3442 0.5000 0.9201
Ag2 Ag 0.3442 0.0000 0.4201
Pd1 Pd 0.5915 0.0000 0.1732
Pd2 Pd 0.5915 0.5000 0.6732
Pt1 Pt 0.0733 0.0000 0.6674
Pt2 Pt 0.0733 0.5000 0.1674
Ta1 Ta 0.8450 0.5000 0.4200
Ta2 Ta 0.8450 0.0000 0.9200
# Distance to the lowest polymorph of the same formula = 0.70 eV/f.u.
# Energy relative to the elements = -0.169 eV/atom



(8)
# PrSn2Ge2Pt7 | Alexandria via LeMat-Bulk | PBE | relaxed
data_PrSn2Ge2Pt7
_cell_length_a 3.9843
_cell_length_b 3.9843
_cell_length_c 16.0283
_cell_angle_alpha 82.96
_cell_angle_beta 82.96
_cell_angle_gamma 90.02
_space_group_name_H-M_alt 'P 1'
_space_group_IT_number 1
loop_
_space_group_symop_operation_xyz
'x,y,z'
loop_
_atom_site_label
_atom_site_type_symbol
_atom_site_fract_x
_atom_site_fract_y
_atom_site_fract_z
Pt1 Pt 0.4278 0.9277 0.1470
Pt2 Pt 0.0723 0.5722 0.8530
Pt3 Pt 0.5722 0.0723 0.8530
Pt4 Pt 0.3008 0.3008 0.3980
Pt5 Pt 0.9277 0.4278 0.1470
Pt6 Pt 0.5000 0.5000 0.0000
Pt7 Pt 0.6992 0.6992 0.6020
Ge1 Ge 0.6194 0.6194 0.7575
Ge2 Ge 0.3806 0.3806 0.2425
Sn1 Sn 0.2126 0.2126 0.5734
Sn2 Sn 0.7874 0.7874 0.4266
Pr1 Pr 0.0000 0.0000 0.0000
# Energy relative to the elements = -0.537 eV/atom



(9)
# Sc2SbP | Alexandria via LeMat-Bulk | PBE | relaxed
data_Sc2SbP
_cell_length_a 7.3223
_cell_length_b 7.3223
_cell_length_c 7.3223
_cell_angle_alpha 152.83
_cell_angle_beta 150.13
_cell_angle_gamma 40.82
_space_group_name_H-M_alt 'P 1'
_space_group_IT_number 1
loop_
_space_group_symop_operation_xyz
'x,y,z'
loop_
_atom_site_label
_atom_site_type_symbol
_atom_site_fract_x
_atom_site_fract_y
_atom_site_fract_z
Sc1 Sc 0.3130 0.8130 0.5000
Sc2 Sc 0.0294 0.0294 0.0000
Sb1 Sb 0.6991 0.1991 0.5000
P1 P 0.4584 0.4584 0.0000
# Uncorrected formation energy = -0.95 eV/atom



(10)
# ZrFeAu2 | Alexandria via LeMat-Bulk | PBE | relaxed
data_ZrFeAu2
_cell_length_a 4.6788
_cell_length_b 2.9694
_cell_length_c 5.0715
_cell_angle_alpha 90.01
_cell_angle_beta 90.00
_cell_angle_gamma 90.00
_space_group_name_H-M_alt 'P 1'
_space_group_IT_number 1
loop_
_space_group_symop_operation_xyz
'x,y,z'
loop_
_atom_site_label
_atom_site_type_symbol
_atom_site_fract_x
_atom_site_fract_y
_atom_site_fract_z
Au1 Au 0.0000 0.1252 0.9655
Au2 Au 0.5000 0.1248 0.3004
Fe1 Fe 0.0000 0.6251 0.4484
Zr1 Zr 0.5000 0.6249 0.7857
# Energy relative to the elements = -0.122 eV/atom



(11)
# K2SrAu | Alexandria via LeMat-Bulk | PBE | relaxed
data_K2SrAu
_cell_length_a 10.3199
_cell_length_b 10.3199
_cell_length_c 4.8823
_cell_angle_alpha 76.26
_cell_angle_beta 76.26
_cell_angle_gamma 22.74
_space_group_name_H-M_alt 'P 1'
_space_group_IT_number 1
loop_
_space_group_symop_operation_xyz
'x,y,z'
loop_
_atom_site_label
_atom_site_type_symbol
_atom_site_fract_x
_atom_site_fract_y
_atom_site_fract_z
K1 K 0.9106 0.9106 0.0891
K2 K 0.5894 0.5894 0.4109
Sr1 Sr 0.7500 0.7500 0.7500
Au1 Au 0.2500 0.2500 0.2500
# Distance to the lowest polymorph of the same formula = 0.13 eV/f.u.
# Energy relative to the elements = -0.243 eV/atom



(12)
# BaCa2Pd | Alexandria via LeMat-Bulk | PBE | relaxed
data_BaCa2Pd
_cell_length_a 3.7381
_cell_length_b 3.7381
_cell_length_c 10.0673
_cell_angle_alpha 90.00
_cell_angle_beta 90.00
_cell_angle_gamma 90.00
_space_group_name_H-M_alt 'P 1'
_space_group_IT_number 1
loop_
_space_group_symop_operation_xyz
'x,y,z'
loop_
_atom_site_label
_atom_site_type_symbol
_atom_site_fract_x
_atom_site_fract_y
_atom_site_fract_z
Pd1 Pd 0.5000 0.5000 0.0000
Ca1 Ca 0.0000 0.0000 0.1648
Ca2 Ca 0.0000 0.0000 0.8352
Ba1 Ba 0.5000 0.5000 0.5000
# Distance to the lowest polymorph of the same formula = 0.28 eV/f.u.
# Energy relative to the elements = -0.320 eV/atom



(13)
# V3SnH | Alexandria via LeMat-Bulk | PBE | relaxed
data_V3SnH
_cell_length_a 5.1395
_cell_length_b 6.6014
_cell_length_c 4.4191
_cell_angle_alpha 90.00
_cell_angle_beta 64.56
_cell_angle_gamma 108.66
_space_group_name_H-M_alt 'P 1'
_space_group_IT_number 1
loop_
_space_group_symop_operation_xyz
'x,y,z'
loop_
_atom_site_label
_atom_site_type_symbol
_atom_site_fract_x
_atom_site_fract_y
_atom_site_fract_z
H1 H 0.3803 0.5625 0.3590
H2 H 0.1632 0.7580 0.9677
V1 V 0.7718 0.6602 0.2811
V2 V 0.2348 0.5152 0.0473
V3 V 0.7717 0.1602 0.2774
V4 V 0.2369 0.0342 0.0510
V5 V 0.3067 0.2863 0.5166
V6 V 0.3087 0.8052 0.5109
Sn1 Sn 0.7695 0.4070 0.7769
Sn2 Sn 0.7740 0.9135 0.7747
# DFT total energy = -70.48 eV per cell



(14)
# YNpRu4 | Alexandria via LeMat-Bulk | PBE | relaxed
data_YNpRu4
_cell_length_a 5.3218
_cell_length_b 5.3218
_cell_length_c 5.3218
_cell_angle_alpha 60.00
_cell_angle_beta 60.00
_cell_angle_gamma 60.00
_space_group_name_H-M_alt 'P 1'
_space_group_IT_number 1
loop_
_space_group_symop_operation_xyz
'x,y,z'
loop_
_atom_site_label
_atom_site_type_symbol
_atom_site_fract_x
_atom_site_fract_y
_atom_site_fract_z
Ru1 Ru 0.1252 0.6249 0.6249
Ru2 Ru 0.6249 0.6249 0.1252
Ru3 Ru 0.6249 0.6249 0.6249
Ru4 Ru 0.6249 0.1252 0.6249
Y1 Y 0.0000 0.0000 0.0000
Np1 Np 0.2500 0.2500 0.2500
# Energy relative to the elements = -0.122 eV/atom



(15)
# CsBaSeN2 | Alexandria via LeMat-Bulk | PBE | relaxed
data_CsBaSeN2
_cell_length_a 5.4553
_cell_length_b 5.4553
_cell_length_c 6.3343
_cell_angle_alpha 90.00
_cell_angle_beta 90.00
_cell_angle_gamma 90.00
_space_group_name_H-M_alt 'P 1'
_space_group_IT_number 1
loop_
_space_group_symop_operation_xyz
'x,y,z'
loop_
_atom_site_label
_atom_site_type_symbol
_atom_site_fract_x
_atom_site_fract_y
_atom_site_fract_z
Ba1 Ba 0.0000 0.0000 0.0000
Cs1 Cs 0.5000 0.5000 0.5000
N1 N 0.5000 0.0000 0.0000
N2 N 0.0000 0.5000 0.0000
Se1 Se 0.0000 0.0000 0.5000
# Distance to the lowest polymorph of the same formula = 0.00 eV/f.u.
# Uncorrected formation energy = 0.74 eV/atom



(16)
# La2Ga4RuPt3 | Alexandria via LeMat-Bulk | PBE | relaxed
data_La2Ga4RuPt3
_cell_length_a 4.3834
_cell_length_b 4.3834
_cell_length_c 10.2263
_cell_angle_alpha 90.00
_cell_angle_beta 90.00
_cell_angle_gamma 90.00
_space_group_name_H-M_alt 'P 1'
_space_group_IT_number 1
loop_
_space_group_symop_operation_xyz
'x,y,z'
loop_
_atom_site_label
_atom_site_type_symbol
_atom_site_fract_x
_atom_site_fract_y
_atom_site_fract_z
Ru1 Ru 0.5000 0.5000 0.5000
Ga1 Ga 0.0000 0.5000 0.3767
Ga2 Ga 0.0000 0.0000 0.0000
Ga3 Ga 0.5000 0.0000 0.6233
Ga4 Ga 0.5000 0.5000 0.0000
Pt1 Pt 0.0000 0.0000 0.5000
Pt2 Pt 0.0000 0.5000 0.1303
Pt3 Pt 0.5000 0.0000 0.8697
La1 La 0.5000 0.0000 0.2584
La2 La 0.0000 0.5000 0.7416
# Energy relative to the elements = -0.902 eV/atom



(17)
# Ce2ThBe | Alexandria via LeMat-Bulk | PBE | relaxed
data_Ce2ThBe
_cell_length_a 3.4739
_cell_length_b 3.4739
_cell_length_c 8.1394
_cell_angle_alpha 90.00
_cell_angle_beta 90.00
_cell_angle_gamma 90.00
_space_group_name_H-M_alt 'P 1'
_space_group_IT_number 1
loop_
_space_group_symop_operation_xyz
'x,y,z'
loop_
_atom_site_label
_atom_site_type_symbol
_atom_site_fract_x
_atom_site_fract_y
_atom_site_fract_z
Ce1 Ce 0.0000 0.0000 0.8004
Ce2 Ce 0.0000 0.0000 0.1996
Be1 Be 0.5000 0.5000 0.0000
Th1 Th 0.5000 0.5000 0.5000
# Distance to the lowest polymorph of the same formula = 0.00 eV/f.u.
# Energy relative to the elements = 0.109 eV/atom



(18)
# Cd2SiSe | Alexandria via LeMat-Bulk | PBE | relaxed
data_Cd2SiSe
_cell_length_a 7.7382
_cell_length_b 7.7381
_cell_length_c 7.7382
_cell_angle_alpha 154.76
_cell_angle_beta 151.01
_cell_angle_gamma 38.82
_space_group_name_H-M_alt 'P 1'
_space_group_IT_number 1
loop_
_space_group_symop_operation_xyz
'x,y,z'
loop_
_atom_site_label
_atom_site_type_symbol
_atom_site_fract_x
_atom_site_fract_y
_atom_site_fract_z
Cd1 Cd 0.0553 0.0553 0.0000
Cd2 Cd 0.7108 0.2108 0.5000
Se1 Se 0.4266 0.4266 0.0000
Si1 Si 0.3073 0.8073 0.5000
# Distance to the lowest polymorph of the same formula = 0.13 eV/f.u.
# Uncorrected formation energy = 0.11 eV/atom



(19)
# Ti2AlF | Alexandria via LeMat-Bulk | PBE | relaxed
data_Ti2AlF
_cell_length_a 4.4833
_cell_length_b 4.4833
_cell_length_c 4.4833
_cell_angle_alpha 60.00
_cell_angle_beta 60.00
_cell_angle_gamma 60.00
_space_group_name_H-M_alt 'P 1'
_space_group_IT_number 1
loop_
_space_group_symop_operation_xyz
'x,y,z'
loop_
_atom_site_label
_atom_site_type_symbol
_atom_site_fract_x
_atom_site_fract_y
_atom_site_fract_z
Ti1 Ti 0.7500 0.7500 0.7500
Ti2 Ti 0.2500 0.2500 0.2500
Al1 Al 0.5000 0.5000 0.5000
F1 F 0.0000 0.0000 0.0000
# Distance to the lowest polymorph of the same formula = 0.08 eV/f.u.
# Uncorrected formation energy = -0.35 eV/atom



(20)
# LaTc3Os | Alexandria via LeMat-Bulk | PBE | relaxed
data_LaTc3Os
_cell_length_a 4.6365
_cell_length_b 4.6365
_cell_length_c 4.6365
_cell_angle_alpha 90.00
_cell_angle_beta 90.00
_cell_angle_gamma 90.00
_space_group_name_H-M_alt 'P 1'
_space_group_IT_number 1
loop_
_space_group_symop_operation_xyz
'x,y,z'
loop_
_atom_site_label
_atom_site_type_symbol
_atom_site_fract_x
_atom_site_fract_y
_atom_site_fract_z
Os1 Os 0.5000 0.5000 0.5000
Tc1 Tc 0.0000 0.0000 0.5000
Tc2 Tc 0.5000 0.0000 0.0000
Tc3 Tc 0.0000 0.5000 0.0000
La1 La 0.0000 0.0000 0.0000
# Distance to the lowest polymorph of the same formula = 8.42 eV/f.u.
# Energy relative to the elements = 2.602 eV/atom



no.,DOS(E_F) (states/eV/atom)
1,0.781
2,0.390
3,1.640
4,1.125
5,0.463
6,0.869
7,0.715
8,0.277
9,0.458
10,0.842
11,0.732
12,0.545
13,0.535
14,1.912
15,0.707
16,0.545
17,1.623
18,0.343
19,0.863
20,1.948